Record 1
Ba2DyGa2O6 | PBE-GGA | relaxed

Energy relative to the elements, uncorrected in meV/atom: -2376
DFT total energy in eV/atom: -6.399
Magnetization in μB per cell: 2.84

a = 6.0928 Å, b = 6.0928 Å, c = 18.1377 Å
α = 90.00°, β = 90.00°, γ = 120.00°
Space group R-3m (No. 166, hexagonal axes)
Unique sites:
Ba  0.0000  0.0000  0.2110 (multiplicity 6)
Dy  0.0000  0.0000  0.0000 (multiplicity 3)
Ga  0.0000  0.0000  0.4313 (multiplicity 6)
O  0.0103  0.5051  0.7483 (multiplicity 18)



Record 2
Ba6Dy2Ga4O15 | PBE-GGA | relaxed

Energy relative to the elements, uncorrected in meV/atom: -2610
DFT total energy in eV/atom: -6.581
Magnetization in μB per cell: 0.00

a = 8.049 Å, b = 6.043 Å, c = 18.687 Å
α = 90.00°, β = 91.21°, γ = 90.00°
Space group P2/c (No. 13)
Unique sites:
Ba  0.000  0.170  0.250 (multiplicity 2)
Ba  0.000  0.255  0.579 (multiplicity 4)
Ba  0.473  0.251  0.910 (multiplicity 4)
Ba  0.500  0.224  0.250 (multiplicity 2)
Dy  0.253  0.248  0.090 (multiplicity 4)
Ga  0.254  0.245  0.442 (multiplicity 4)
Ga  0.270  0.274  0.733 (multiplicity 4)
O  0.032  0.257  0.410 (multiplicity 4)
O  0.189  0.167  0.817 (multiplicity 4)
O  0.223  0.455  0.191 (multiplicity 4)
O  0.253  0.051  0.662 (multiplicity 4)
O  0.266  0.016  0.997 (multiplicity 4)
O  0.267  0.482  0.509 (multiplicity 4)
O  0.453  0.267  0.392 (multiplicity 4)
O  0.500  0.306  0.750 (multiplicity 2)



Record 3
BaDy4Ga3O12 | PBE-GGA | relaxed

Energy relative to the elements, uncorrected in meV/atom: -2581
DFT total energy in eV/atom: -7.026
Magnetization in μB per cell: 2.21

a = 8.229 Å, b = 8.229 Å, c = 8.229 Å
α = 90.00°, β = 90.00°, γ = 90.00°
Space group Im-3 (No. 204)
Unique sites:
Ba  0.000  0.000  0.000 (multiplicity 2)
Dy  0.250  0.250  0.250 (multiplicity 8)
Ga  0.000  0.000  0.500 (multiplicity 6)
O  0.000  0.158  0.326 (multiplicity 24)